# 1
This record from Alexandria describes CaMgSiO4 after structural relaxation. The functional is PBE.

## Properties
relative energy among the computed polymorphs	0.000	eV per atom
calculated total energy	-198.5	eV per cell
E_form (uncorrected)	-2.968	eV/atom
calculated density	2959	kg/m3
calculated volume	12.5	Å³/atom

Unit cell a=11.2229 b=6.4275 c=4.8682 alpha=90.00 beta=90.00 gamma=90.00
With the nearest neighbours (Å) after each atom.
Fractional positions:
Ca 0.2229 0.2500 0.0208  6 O 2.31-2.51
Ca 0.2771 0.7500 0.5208  6 O 2.31-2.51
Ca 0.7229 0.2500 0.4792  6 O 2.31-2.51
Ca 0.7771 0.7500 0.9792  6 O 2.31-2.51
Mg 0.0000 0.0000 0.5000  6 O 2.10-2.21
Mg 0.0000 0.5000 0.5000  6 O 2.10-2.21
Mg 0.5000 0.0000 0.0000  6 O 2.10-2.21
Mg 0.5000 0.5000 0.0000  6 O 2.10-2.21
Si 0.0811 0.7500 0.0892  4 O 1.63-1.67
Si 0.4189 0.2500 0.5892  4 O 1.63-1.67
Si 0.5811 0.7500 0.4108  4 O 1.63-1.67
Si 0.9189 0.2500 0.9108  4 O 1.63-1.67
O 0.0513 0.2500 0.7525  1 Si 1.67
O 0.0777 0.7500 0.7536  1 Si 1.63
O 0.1474 0.5447 0.2280  1 Si 1.66
O 0.1474 0.9553 0.2280  1 Si 1.66
O 0.3526 0.0447 0.7280  1 Si 1.66
O 0.3526 0.4553 0.7280  1 Si 1.66
O 0.4223 0.2500 0.2536  1 Si 1.63
O 0.4487 0.7500 0.2525  1 Si 1.67
O 0.5513 0.2500 0.7475  1 Si 1.67
O 0.5777 0.7500 0.7464  1 Si 1.63
O 0.6474 0.5447 0.2720  1 Si 1.66
O 0.6474 0.9553 0.2720  1 Si 1.66
O 0.8526 0.0447 0.7720  1 Si 1.66
O 0.8526 0.4553 0.7720  1 Si 1.66
O 0.9223 0.2500 0.2464  1 Si 1.63
O 0.9487 0.7500 0.2475  1 Si 1.67

# 2
This record from Alexandria describes Ca3MgSi2O8 after structural relaxation. The functional is PBE.

## Properties
calculated total energy	-399.6	eV per cell
E_form (uncorrected)	-2.986	eV/atom
calculated density	3215	kg/m3
calculated volume	12.1	Å³/atom

Unit cell a=9.4917 b=5.3389 c=13.4132 alpha=90.00 beta=92.54 gamma=90.00
With the nearest neighbours (Å) after each atom.
Fractional positions:
Ca 0.0715 0.2320 0.4200  2 O 2.24-2.36
Ca 0.0715 0.2680 0.9200  2 O 2.24-2.36
Ca 0.2187 0.6777 0.2581  4 O 2.32-2.42
Ca 0.2187 0.8223 0.7581  4 O 2.32-2.42
Ca 0.4230 0.2433 0.0996  2 O 2.27-2.54
Ca 0.4230 0.2567 0.5996  2 O 2.27-2.54
Ca 0.5770 0.7433 0.4004  2 O 2.27-2.54
Ca 0.5770 0.7567 0.9004  2 O 2.27-2.54
Ca 0.7813 0.1777 0.2419  4 O 2.32-2.42
Ca 0.7813 0.3223 0.7419  4 O 2.32-2.42
Ca 0.9285 0.7320 0.0800  2 O 2.24-2.36
Ca 0.9285 0.7680 0.5800  2 O 2.24-2.36
Mg 0.2546 0.7406 0.5048  6 O 2.02-2.19
Mg 0.2546 0.7594 0.0048  6 O 2.02-2.19
Mg 0.7454 0.2406 0.9952  6 O 2.02-2.19
Mg 0.7454 0.2594 0.4952  6 O 2.02-2.19
Si 0.0942 0.2277 0.1419  4 O 1.62-1.66
Si 0.0942 0.2723 0.6419  4 O 1.62-1.66
Si 0.3960 0.2278 0.3690  4 O 1.63-1.66
Si 0.3960 0.2722 0.8690  4 O 1.63-1.66
Si 0.6040 0.7278 0.1310  4 O 1.63-1.66
Si 0.6040 0.7722 0.6310  4 O 1.63-1.66
Si 0.9058 0.7277 0.3581  4 O 1.62-1.66
Si 0.9058 0.7723 0.8581  4 O 1.62-1.66
O 0.0587 0.7080 0.4231  1 Si 1.66
O 0.0587 0.7920 0.9231  1 Si 1.66
O 0.0693 0.1895 0.7560  1 Si 1.62
O 0.0693 0.3105 0.2560  1 Si 1.62
O 0.1767 0.0423 0.5846  1 Si 1.66
O 0.1767 0.4577 0.0846  1 Si 1.66
O 0.1832 0.5316 0.6277  1 Si 1.64
O 0.1832 0.9684 0.1277  1 Si 1.64
O 0.2988 0.0924 0.9393  1 Si 1.66
O 0.2988 0.4076 0.4393  1 Si 1.66
O 0.3280 0.5578 0.8746  1 Si 1.66
O 0.3280 0.9422 0.3746  1 Si 1.66
O 0.3988 0.1369 0.7604  1 Si 1.63
O 0.3988 0.3631 0.2604  1 Si 1.63
O 0.4478 0.7182 0.0726  1 Si 1.65
O 0.4478 0.7818 0.5726  1 Si 1.65
O 0.5522 0.2182 0.4274  1 Si 1.65
O 0.5522 0.2818 0.9274  1 Si 1.65
O 0.6012 0.6369 0.7396  1 Si 1.63
O 0.6012 0.8631 0.2396  1 Si 1.63
O 0.6720 0.0578 0.6254  1 Si 1.66
O 0.6720 0.4422 0.1254  1 Si 1.66
O 0.7012 0.5924 0.5607  1 Si 1.66
O 0.7012 0.9076 0.0607  1 Si 1.66
O 0.8168 0.0316 0.8723  1 Si 1.64
O 0.8168 0.4684 0.3723  1 Si 1.64
O 0.8233 0.5423 0.9154  1 Si 1.66
O 0.8233 0.9577 0.4154  1 Si 1.66
O 0.9307 0.6895 0.7440  1 Si 1.62
O 0.9307 0.8105 0.2440  1 Si 1.62
O 0.9413 0.2080 0.0769  1 Si 1.66
O 0.9413 0.2920 0.5769  1 Si 1.66

# 3
This record from Alexandria describes CaMgSiO4 after structural relaxation. The functional is PBE.

## Properties
relative energy among the computed polymorphs	0.055	eV per atom
calculated total energy	-196.9	eV per cell
E_form (uncorrected)	-2.912	eV/atom
calculated density	3173	kg/m3
calculated volume	11.7	Å³/atom

Unit cell a=9.1680 b=6.8384 c=5.2243 alpha=90.00 beta=90.00 gamma=90.00
With the nearest neighbours (Å) after each atom.
Fractional positions:
Ca 0.1467 0.2500 0.0264  4 O 2.29-2.44
Ca 0.3533 0.7500 0.5264  4 O 2.29-2.44
Ca 0.6467 0.2500 0.4736  4 O 2.29-2.44
Ca 0.8533 0.7500 0.9736  4 O 2.29-2.44
Mg 0.0000 0.0000 0.5000  4 O 2.00-2.16
Mg 0.0000 0.5000 0.5000  4 O 2.00-2.16
Mg 0.5000 0.0000 0.0000  4 O 2.00-2.16
Mg 0.5000 0.5000 0.0000  4 O 2.00-2.16
Si 0.1799 0.7500 0.0333  4 O 1.64-1.66
Si 0.3201 0.2500 0.5333  4 O 1.64-1.66
Si 0.6799 0.7500 0.4667  4 O 1.64-1.66
Si 0.8201 0.2500 0.9667  4 O 1.64-1.66
O 0.1184 0.5587 0.1871  1 Si 1.64
O 0.1184 0.9413 0.1871  1 Si 1.64
O 0.1200 0.7500 0.7341  1 Si 1.66
O 0.1394 0.2500 0.5587  1 Si 1.66
O 0.3606 0.7500 0.0587  1 Si 1.66
O 0.3800 0.2500 0.2341  1 Si 1.66
O 0.3816 0.0587 0.6871  1 Si 1.64
O 0.3816 0.4413 0.6871  1 Si 1.64
O 0.6184 0.5587 0.3129  1 Si 1.64
O 0.6184 0.9413 0.3129  1 Si 1.64
O 0.6200 0.7500 0.7659  1 Si 1.66
O 0.6394 0.2500 0.9413  1 Si 1.66
O 0.8606 0.7500 0.4413  1 Si 1.66
O 0.8800 0.2500 0.2659  1 Si 1.66
O 0.8816 0.0587 0.8129  1 Si 1.64
O 0.8816 0.4413 0.8129  1 Si 1.64

# 4
This record from Alexandria describes Ca2Mg5Si8O24 after structural relaxation. The functional is PBE.

## Properties
calculated total energy	-281.3	eV per cell
E_form (uncorrected)	-2.742	eV/atom
calculated density	2831	kg/m3
calculated volume	12.2	Å³/atom

Unit cell a=10.4590 b=10.4590 c=5.3292 alpha=96.95 beta=96.95 gamma=122.58
With the nearest neighbours (Å) after each atom.
Fractional positions:
Ca 0.2193 0.7807 0.0000  6 O 2.33-2.56
Ca 0.7807 0.2193 0.0000  6 O 2.33-2.56
Mg 0.3212 0.6788 0.5000  6 O 2.03-2.15
Mg 0.4053 0.5947 0.0000  6 O 2.06-2.12
Mg 0.5000 0.5000 0.5000  6 O 2.09-2.11
Mg 0.5947 0.4053 0.0000  6 O 2.06-2.12
Mg 0.6788 0.3212 0.5000  6 O 2.03-2.15
Si 0.0416 0.3832 0.6987  4 O 1.61-1.69
Si 0.1396 0.3076 0.2088  4 O 1.62-1.65
Si 0.3076 0.1396 0.2088  4 O 1.62-1.65
Si 0.3832 0.0416 0.6987  4 O 1.61-1.69
Si 0.6168 0.9584 0.3013  4 O 1.61-1.69
Si 0.6924 0.8604 0.7912  4 O 1.62-1.65
Si 0.8604 0.6924 0.7912  4 O 1.62-1.65
Si 0.9584 0.6168 0.3013  4 O 1.61-1.69
O 0.0225 0.2895 0.4044  2 Si 1.65-1.67
O 0.0412 0.2789 0.9176  2 Si 1.65-1.69
O 0.1146 0.6228 0.2924  1 Si 1.61
O 0.1702 0.1702 0.2127  2 Si 1.63
O 0.2066 0.5543 0.7766  1 Si 1.64
O 0.2789 0.0412 0.9176  2 Si 1.65-1.69
O 0.2895 0.0225 0.4044  2 Si 1.65-1.67
O 0.3020 0.4784 0.2904  1 Si 1.62
O 0.3772 0.8854 0.7076  1 Si 1.61
O 0.4150 0.4150 0.8201  3 Mg 2.06-2.09, 1 O 2.22
O 0.4457 0.7934 0.2234  1 Si 1.64
O 0.4784 0.3020 0.2904  1 Si 1.62
O 0.5216 0.6980 0.7096  1 Si 1.62
O 0.5543 0.2066 0.7766  1 Si 1.64
O 0.5850 0.5850 0.1799  3 Mg 2.06-2.09, 1 O 2.22
O 0.6228 0.1146 0.2924  1 Si 1.61
O 0.6980 0.5216 0.7096  1 Si 1.62
O 0.7105 0.9775 0.5956  2 Si 1.65-1.67
O 0.7211 0.9588 0.0824  2 Si 1.65-1.69
O 0.7934 0.4457 0.2234  1 Si 1.64
O 0.8298 0.8298 0.7873  2 Si 1.63
O 0.8854 0.3772 0.7076  1 Si 1.61
O 0.9588 0.7211 0.0824  2 Si 1.65-1.69
O 0.9775 0.7105 0.5956  2 Si 1.65-1.67

# 5
This record from Alexandria describes CaMg6SnO8 after structural relaxation. The functional is PBE.

## Properties
relative energy among the computed polymorphs	0.052	eV per atom
calculated total energy	-91.8	eV per cell
E_form (uncorrected)	-2.287	eV/atom
calculated density	3890	kg/m3
calculated volume	11.5	Å³/atom

Unit cell a=4.5187 b=4.5187 c=9.0436 alpha=90.00 beta=90.00 gamma=90.00
With the nearest neighbours (Å) after each atom.
Fractional positions:
Ca 0.0000 0.0000 0.0000  6 O 2.20-2.26
Mg 0.0000 0.5000 0.2455  6 O 2.22-2.30
Mg 0.0000 0.5000 0.7545  6 O 2.22-2.30
Mg 0.5000 0.0000 0.2455  6 O 2.22-2.30
Mg 0.5000 0.0000 0.7545  6 O 2.22-2.30
Mg 0.5000 0.5000 0.0000  6 O 2.25-2.26
Mg 0.5000 0.5000 0.5000  6 O 2.26-2.27
Sn 0.0000 0.0000 0.5000  6 O 2.26-2.32
O 0.0000 0.0000 0.2433  1 Ca 2.20, 4 Mg 2.26, 1 Sn 2.32
O 0.0000 0.0000 0.7567  1 Ca 2.20, 4 Mg 2.26, 1 Sn 2.32
O 0.0000 0.5000 0.0000  4 Mg 2.22-2.26, 2 Ca 2.26
O 0.0000 0.5000 0.5000  2 Sn 2.26, 4 Mg 2.26-2.30
O 0.5000 0.0000 0.0000  4 Mg 2.22-2.26, 2 Ca 2.26
O 0.5000 0.0000 0.5000  2 Sn 2.26, 4 Mg 2.26-2.30
O 0.5000 0.5000 0.2485  6 Mg 2.25-2.27
O 0.5000 0.5000 0.7515  6 Mg 2.25-2.27

# 6
This record from Alexandria describes CaMg2SnO after structural relaxation. The functional is PBE.

## Properties
calculated total energy	-20.2	eV per cell
E_form (uncorrected)	-1.213	eV/atom
calculated density	3912	kg/m3
calculated volume	19.0	Å³/atom

Unit cell a=4.5028 b=4.5028 c=4.6776 alpha=90.00 beta=90.00 gamma=90.00
With the nearest neighbours (Å) after each atom.
Fractional positions:
Ca 0.0000 0.0000 0.0000  2 O 2.34
Mg 0.0000 0.5000 0.5000  2 O 2.25
Mg 0.5000 0.0000 0.5000  2 O 2.25
Sn 0.5000 0.5000 0.0000  4 Ca 3.18, 8 Mg 3.25
O 0.0000 0.0000 0.5000  4 Mg 2.25, 2 Ca 2.34

# 7
This record from Alexandria describes Ca2MgSnO after structural relaxation. The functional is PBE.

## Properties
calculated total energy	-21.6	eV per cell
E_form (uncorrected)	-1.401	eV/atom
calculated density	3797	kg/m3
calculated volume	20.9	Å³/atom

Unit cell a=4.8185 b=4.8185 c=4.5051 alpha=90.00 beta=90.00 gamma=90.00
With the nearest neighbours (Å) after each atom.
Fractional positions:
Ca 0.0000 0.5000 0.0000  2 O 2.41
Ca 0.5000 0.0000 0.0000  2 O 2.41
Mg 0.0000 0.0000 0.5000  2 O 2.25
Sn 0.5000 0.5000 0.5000  8 Ca 3.30, 4 Mg 3.41
O 0.0000 0.0000 0.0000  2 Mg 2.25, 4 Ca 2.41

# 8
This record from Alexandria describes CaMgSnO4 after structural relaxation. The functional is PBE.

## Properties
calculated total energy	-87.8	eV per cell
E_form (uncorrected)	-2.352	eV/atom
calculated density	4329	kg/m3
calculated volume	13.5	Å³/atom

Unit cell a=6.4475 b=6.4475 c=6.4475 alpha=120.26 beta=119.72 gamma=90.02
With the nearest neighbours (Å) after each atom.
Fractional positions:
Ca 0.3863 0.1363 0.2500  4 O 2.21-2.24
Ca 0.6137 0.8637 0.7500  4 O 2.21-2.24
Mg 0.0000 0.0000 0.5000  6 O 2.16-2.20
Mg 0.0000 0.5000 0.0000  6 O 2.16-2.20
Sn 0.0000 0.5000 0.5000  6 O 2.06-2.15
Sn 0.5000 0.5000 0.0000  6 O 2.06-2.15
O 0.1955 0.7255 0.4700  1 Sn 2.06, 2 Mg 2.16, 1 Ca 2.21
O 0.2406 0.2714 0.5308  2 Sn 2.15, 1 Mg 2.20, 1 Ca 2.24
O 0.2406 0.7098 0.9692  2 Sn 2.15, 1 Mg 2.20, 1 Ca 2.24
O 0.2445 0.2745 0.9700  1 Sn 2.06, 2 Mg 2.16, 1 Ca 2.21
O 0.7555 0.7255 0.0300  1 Sn 2.06, 2 Mg 2.16, 1 Ca 2.21
O 0.7594 0.2902 0.0308  2 Sn 2.15, 1 Mg 2.20, 1 Ca 2.24
O 0.7594 0.7286 0.4692  2 Sn 2.15, 1 Mg 2.20, 1 Ca 2.24
O 0.8045 0.2745 0.5300  1 Sn 2.06, 2 Mg 2.16, 1 Ca 2.21

# 9
This record from Alexandria describes CaMg6SnO8 after structural relaxation. The functional is PBE.

## Properties
relative energy among the computed polymorphs	0.000	eV per atom
calculated total energy	-92.7	eV per cell
E_form (uncorrected)	-2.339	eV/atom
calculated density	3898	kg/m3
calculated volume	11.5	Å³/atom

Unit cell a=4.5275 b=4.5275 c=8.9909 alpha=90.00 beta=90.00 gamma=90.00
With the nearest neighbours (Å) after each atom.
Fractional positions:
Ca 0.0000 0.0000 0.0000  6 O 2.26-2.40
Mg 0.0000 0.0000 0.5000  6 O 2.09-2.26
Mg 0.0000 0.5000 0.2695  5 O 2.07-2.26
Mg 0.0000 0.5000 0.7305  5 O 2.07-2.26
Mg 0.5000 0.0000 0.2695  5 O 2.07-2.26
Mg 0.5000 0.0000 0.7305  5 O 2.07-2.26
Mg 0.5000 0.5000 0.5000  2 O 2.01
Sn 0.5000 0.5000 0.0000  6 O 2.26-2.48
O 0.0000 0.0000 0.2673  5 Mg 2.09-2.26
O 0.0000 0.0000 0.7327  5 Mg 2.09-2.26
O 0.0000 0.5000 0.0000  2 Sn 2.26, 2 Ca 2.26, 2 Mg 2.42
O 0.0000 0.5000 0.5000  6 Mg 2.07-2.26
O 0.5000 0.0000 0.0000  2 Sn 2.26, 2 Ca 2.26, 2 Mg 2.42
O 0.5000 0.0000 0.5000  6 Mg 2.07-2.26
O 0.5000 0.5000 0.2762  1 Mg 2.01
O 0.5000 0.5000 0.7238  1 Mg 2.01

# 10
This record from Alexandria describes SrCaMg6O8 after structural relaxation. The functional is PBE.

## Properties
relative energy among the computed polymorphs	0.000	eV per atom
calculated total energy	-93.8	eV per cell
E_form (uncorrected)	-2.554	eV/atom
calculated density	3590	kg/m3
calculated volume	11.6	Å³/atom

Unit cell a=4.5727 b=4.5727 c=8.8819 alpha=90.00 beta=90.00 gamma=90.00
With the nearest neighbours (Å) after each atom.
Fractional positions:
Sr 0.0000 0.0000 0.0000  6 O 2.29-2.44
Ca 0.5000 0.5000 0.0000  6 O 2.29-2.37
Mg 0.0000 0.0000 0.5000  2 O 2.00
Mg 0.0000 0.5000 0.2685  5 O 2.06-2.29
Mg 0.0000 0.5000 0.7315  5 O 2.06-2.29
Mg 0.5000 0.0000 0.2685  5 O 2.06-2.29
Mg 0.5000 0.0000 0.7315  5 O 2.06-2.29
Mg 0.5000 0.5000 0.5000  6 O 2.07-2.29
O 0.0000 0.0000 0.2744  1 Mg 2.00
O 0.0000 0.0000 0.7256  1 Mg 2.00
O 0.0000 0.5000 0.0000  2 Ca 2.29, 2 Sr 2.29, 2 Mg 2.38
O 0.0000 0.5000 0.5000  6 Mg 2.06-2.29
O 0.5000 0.0000 0.0000  2 Ca 2.29, 2 Sr 2.29, 2 Mg 2.38
O 0.5000 0.0000 0.5000  6 Mg 2.06-2.29
O 0.5000 0.5000 0.2672  5 Mg 2.07-2.29
O 0.5000 0.5000 0.7328  5 Mg 2.07-2.29

# 11
This record from Alexandria describes SrCa2MgO after structural relaxation. The functional is PBE.

## Properties
calculated total energy	-17.8	eV per cell
E_form (uncorrected)	-1.111	eV/atom
calculated density	2599	kg/m3
calculated volume	26.6	Å³/atom

Unit cell a=4.9073 b=4.9073 c=5.5216 alpha=90.00 beta=90.00 gamma=90.00
With the nearest neighbours (Å) after each atom.
Fractional positions:
Sr 0.0000 0.0000 0.0000  2 O 2.76
Ca 0.0000 0.5000 0.5000  2 O 2.45
Ca 0.5000 0.0000 0.5000  2 O 2.45
Mg 0.5000 0.5000 0.0000  4 Sr 3.47, 8 Ca 3.69
O 0.0000 0.0000 0.5000  4 Ca 2.45

# 12
This record from Alexandria describes SrCaMg6O8 after structural relaxation. The functional is PBE.

## Properties
relative energy among the computed polymorphs	0.057	eV per atom
calculated total energy	-92.9	eV per cell
E_form (uncorrected)	-2.497	eV/atom
calculated density	3577	kg/m3
calculated volume	11.7	Å³/atom

Unit cell a=4.5397 b=4.5397 c=9.0449 alpha=90.00 beta=90.00 gamma=90.00
With the nearest neighbours (Å) after each atom.
Fractional positions:
Sr 0.0000 0.0000 0.0000  6 O 2.27-2.34
Ca 0.0000 0.0000 0.5000  6 O 2.18-2.27
Mg 0.0000 0.5000 0.2554  6 O 2.21-2.31
Mg 0.0000 0.5000 0.7446  6 O 2.21-2.31
Mg 0.5000 0.0000 0.2554  6 O 2.21-2.31
Mg 0.5000 0.0000 0.7446  6 O 2.21-2.31
Mg 0.5000 0.5000 0.0000  6 O 2.27-2.28
Mg 0.5000 0.5000 0.5000  6 O 2.24-2.27
O 0.0000 0.0000 0.2584  1 Ca 2.18, 4 Mg 2.27, 1 Sr 2.34
O 0.0000 0.0000 0.7416  1 Ca 2.18, 4 Mg 2.27, 1 Sr 2.34
O 0.0000 0.5000 0.0000  4 Mg 2.27-2.31, 2 Sr 2.27
O 0.0000 0.5000 0.5000  4 Mg 2.21-2.27, 2 Ca 2.27
O 0.5000 0.0000 0.0000  4 Mg 2.27-2.31, 2 Sr 2.27
O 0.5000 0.0000 0.5000  4 Mg 2.21-2.27, 2 Ca 2.27
O 0.5000 0.5000 0.2522  6 Mg 2.24-2.28
O 0.5000 0.5000 0.7478  6 Mg 2.24-2.28

no.,D(E_F) (states/eV/cell)
1,0.0
2,0.0
3,0.0
4,5.1
5,1.3
6,1.0
7,0.6
8,0.0
9,1.1
10,0.0
11,3.4
12,0.0